1.
GGA-PBE PuOsS2, relaxed; magnetization = 17.71 μB per cell; crystal system = trigonal; energy relative to the elements, uncorrected = -691 meV per atom; N(E_F) = 17.7 states/eV/cell
1.0
3.8983 0.0000 0.0000
-1.9491 3.3760 0.0000
0.0000 0.0000 15.6415
Pu Os S
3 3 6
Direct
0.0000 0.0000 0.0000
0.3333 0.6667 0.6667
0.6667 0.3333 0.3333
0.0000 0.0000 0.5000
0.3333 0.6667 0.1667
0.6667 0.3333 0.8333
0.0000 0.0000 0.2318
0.0000 0.0000 0.7682
0.3333 0.6667 0.4348
0.3333 0.6667 0.8985
0.6667 0.3333 0.1015
0.6667 0.3333 0.5652

2.
GGA-PBE PuSb12Os4, relaxed; magnetization = 4.07 μB per cell; crystal system = cubic; energy relative to the elements, uncorrected = -111 meV per atom; N(E_F) = 11.7 states/eV/cell
1.0
-4.7002 4.7002 4.7002
4.7002 -4.7002 4.7002
4.7002 4.7002 -4.7002
Pu Sb Os
1 12 4
Direct
0.0000 0.0000 0.0000
0.1567 0.3386 0.4953
0.1567 0.6614 0.8180
0.1820 0.8433 0.3386
0.3386 0.1820 0.8433
0.3386 0.4953 0.1567
0.4953 0.1567 0.3386
0.5047 0.8433 0.6614
0.6614 0.5047 0.8433
0.6614 0.8180 0.1567
0.8180 0.1567 0.6614
0.8433 0.3386 0.1820
0.8433 0.6614 0.5047
0.0000 0.0000 0.5000
0.0000 0.5000 0.0000
0.5000 0.0000 0.0000
0.5000 0.5000 0.5000

3.
GGA-PBE PuScOs, relaxed; magnetization = 10.80 μB per cell; distance to the lowest polymorph of the same formula = 0.0 kJ/mol of atoms; crystal system = tetragonal; N(E_F) = 11.1 states/eV/cell
1.0
3.2133 0.0000 0.0000
0.0000 3.2133 0.0000
0.0000 0.0000 12.3842
Pu Sc Os
2 2 2
Direct
0.0000 0.0000 0.0000
0.5000 0.5000 0.5000
0.0000 0.0000 0.7274
0.5000 0.5000 0.2274
0.0000 0.0000 0.3537
0.5000 0.5000 0.8537